Density functional theory data (PBE) for a relaxed structure of Ca2SiPd2.

Cell and atoms, written as POSCAR:
```
Ca2SiPd2
1.0
-3.776 -5.506 -1.156
4.088 -3.642 3.992
-2.591 1.024 3.588
Ca Pd Si
4 4 2
direct
0.673 0.827 0.500 Ca
0.327 0.173 0.500 Ca
0.827 0.327 0.500 Ca
0.173 0.673 0.500 Ca
0.147 0.353 0.000 Pd
0.353 0.853 0.000 Pd
0.647 0.147 0.000 Pd
0.853 0.647 0.000 Pd
0.000 0.000 0.000 Si
0.500 0.500 0.000 Si
```

Density functional theory data (PBE) for a relaxed structure of Ca2SiPd2.

Cell and atoms, written as POSCAR:
```
Ca2SiPd2
1.0
-0.776 -3.364 1.314
1.603 0.883 3.208
-7.028 1.620 5.192
Ca Pd Si
2 2 1
direct
0.608 0.608 0.783 Ca
0.392 0.392 0.217 Ca
0.750 0.250 0.500 Pd
0.250 0.750 0.500 Pd
0.000 0.000 0.000 Si
```

Density functional theory data (PBE) for a relaxed structure of CaSi2Pd.

Cell and atoms, written as POSCAR:
```
CaSi2Pd
1.0
-2.793 -3.510 -1.291
3.141 -3.076 1.568
-3.432 -3.169 7.605
Si Pd Ca
4 2 2
direct
0.911 0.625 0.250 Si
0.375 0.161 0.750 Si
0.839 0.125 0.250 Si
0.875 0.089 0.750 Si
0.000 0.000 0.000 Pd
0.750 0.250 0.500 Pd
0.250 0.750 0.500 Ca
0.500 0.500 0.000 Ca
```

Density functional theory data (PBE) for a relaxed structure of Ca3Si4Pd7.

Cell and atoms, written as POSCAR:
```
Ca3Si4Pd7
1.0
-0.820 3.458 1.934
2.123 -1.420 7.671
7.471 3.326 1.454
Ca Pd Si
3 7 4
direct
0.670 0.825 0.835 Ca
0.000 0.500 0.500 Ca
0.330 0.175 0.165 Ca
0.505 0.759 0.231 Pd
0.000 0.000 0.000 Pd
0.170 0.580 0.081 Pd
0.830 0.420 0.919 Pd
0.304 0.850 0.543 Pd
0.495 0.241 0.769 Pd
0.696 0.150 0.457 Pd
0.666 0.443 0.225 Si
0.334 0.557 0.775 Si
0.112 0.108 0.669 Si
0.888 0.892 0.331 Si
```

Density functional theory data (PBE) for a relaxed structure of CaSi3Pd.

Cell and atoms, written as POSCAR:
```
CaSi3Pd
1.0
5.132 0.000 0.000
0.000 5.132 0.000
0.000 0.000 5.132
Si Ca Pd
3 1 1
direct
0.000 0.500 0.000 Si
0.500 0.000 0.000 Si
0.000 0.000 0.500 Si
0.000 0.000 0.000 Ca
0.500 0.500 0.500 Pd
```

Density functional theory data (PBE) for a relaxed structure of CaSiPd6.

Cell and atoms, written as POSCAR:
```
CaSiPd6
1.0
-2.031 3.983 4.057
-5.170 -1.050 2.935
0.072 -1.349 5.852
Pd Si Ca
6 1 1
direct
0.894 0.449 0.764 Pd
0.551 0.106 0.236 Pd
0.894 0.894 0.764 Pd
0.106 0.551 0.236 Pd
0.106 0.106 0.236 Pd
0.449 0.894 0.764 Pd
0.000 0.000 0.000 Si
0.500 0.500 0.500 Ca
```

Density functional theory data (PBE) for a relaxed structure of Ca2Si3Pd5.

Output
The value obtained for the energy above the lowest structure with this stoichiometry is 37 meV per atom.

Cell and atoms, written as POSCAR:
```
Ca2Si3Pd5
1.0
4.088 0.000 -0.696
0.000 6.778 0.000
0.032 0.000 12.536
Ca Pd Si
4 10 6
direct
0.825 0.255 0.649 Ca
0.175 0.755 0.351 Ca
0.521 0.241 0.042 Ca
0.479 0.741 0.958 Ca
0.288 0.963 0.576 Pd
0.130 0.239 0.259 Pd
0.712 0.463 0.424 Pd
0.060 0.573 0.120 Pd
0.709 0.049 0.418 Pd
0.406 0.348 0.813 Pd
0.870 0.739 0.741 Pd
0.940 0.073 0.880 Pd
0.594 0.848 0.187 Pd
0.291 0.549 0.582 Pd
0.055 0.953 0.110 Si
0.771 0.756 0.542 Si
0.945 0.453 0.890 Si
0.386 0.987 0.771 Si
0.614 0.487 0.229 Si
0.229 0.256 0.458 Si
```

Density functional theory data (PBE) for a relaxed structure of Ca2Si3Pd6.

Cell and atoms, written as POSCAR:
```
Ca2Si3Pd6
1.0
-1.280 0.691 -3.974
-0.504 -7.248 -1.098
-5.798 3.746 2.518
Ca Pd Si
2 6 3
direct
0.000 0.667 0.333 Ca
0.000 0.333 0.667 Ca
0.500 0.000 0.306 Pd
0.000 0.215 0.215 Pd
0.000 0.000 0.785 Pd
0.500 0.306 0.000 Pd
0.000 0.785 0.000 Pd
0.500 0.694 0.694 Pd
0.500 0.368 0.368 Si
0.500 0.000 0.632 Si
0.500 0.632 0.000 Si
```

| no. | total DFT energy (no corrections) (eV per atom) |
| --- | --- |
| 1 | -4.54 |
| 2 | -4.26 |
| 3 | -4.88 |
| 4 | -5.35 |
| 5 | -3.04 |
| 6 | -5.14 |
| 7 | -5.34 |
| 8 | -5.39 |